[1]
VASP calculation (PBE) on an optimized crystal structure of RbCo2Te.

Values from the calculation:
Uncorrected formation energy   0.382 eV/atom

a b c (Å): 5.100 5.100 17.026
angles (deg): 90.00 90.00 90.00
Space group I4_1/amd (No. 141, origin choice 2)
Unique sites:
Rb 0.000 0.250 0.375 [4 per cell]
Co 0.000 0.000 0.000 [8 per cell]
Te 0.000 0.250 0.875 [4 per cell]

---

[2]
VASP calculation (PBE) on an optimized crystal structure of La2TbHo12.

Values from the calculation:
ΔH_f (0 K)   0.326 eV per atom

a b c (Å): 6.434 6.434 24.971
angles (deg): 90.00 90.00 90.00
Space group P4/nbm (No. 125, origin choice 2)
Unique sites:
La 0.250 0.750 0.229 [4 per cell]
Tb 0.250 0.750 0.500 [2 per cell]
Ho 0.063 0.563 0.385 [8 per cell]
Ho 0.081 0.581 0.060 [8 per cell]
Ho 0.250 0.250 0.159 [4 per cell]
Ho 0.250 0.250 0.286 [4 per cell]

---

Going through the records in order, we get mass density values of 4.964, 7.762 g cm⁻³.
Going through the records in order, we get final energy values of -4.1987, -4.3020 eV per atom.
Going through the records in order, we get magnetization values of 2.78, 0.00 μB/f.u..